Compound: NdMg2Cd9
Source: Alexandria
Functional: PBE-GGA
Structure: relaxed

The total energy is -1.442 eV/atom. For the density of states at the Fermi level, the calculation gives 4.79 states/eV/f.u. For the formation energy, the calculation gives -0.092 eV/atom.

It has space group P6/mmm (No. 191), with a = 9.9714 Å, b = 9.9714 Å, c = 3.2560 Å, α = 90.00°, β = 90.00° and γ = 120.00°. The inequivalent atoms are Nd at (0.0000, 0.0000, 0.0000), Mg at (0.3333, 0.6667, 0.0000), Cd at (0.0000, 0.5000, 0.0000) and Cd at (0.1768, 0.3535, 0.5000).